Ho3MoO7 | PBE+U | relaxed

Structure (extended XYZ):
```
22
Lattice="-3.361 -5.422 -0.951 3.112 -0.453 5.631 -5.843 3.013 3.471" Properties=species:S:1:pos:R:3 pbc="T T T"
O -5.097 -1.124 7.902
Ho -2.869 -0.693 7.808
O -3.618 0.005 5.848
O -2.335 0.984 3.594
O -4.331 -4.292 0.416
O -1.091 -1.608 0.164
O -2.475 -2.867 2.303
Ho -3.293 -2.133 0.384
O -4.845 2.439 5.045
O -2.523 -2.531 6.515
O -5.353 -1.327 4.083
O -0.739 -1.535 4.068
O -1.142 -5.194 3.003
O -3.611 -0.389 1.803
Ho -3.038 -1.245 3.928
Mo 0.000 -0.009 0.007
Ho -2.684 1.994 5.598
Mo -3.170 -4.359 6.408
Ho -0.132 -3.123 2.488
O -1.762 1.430 7.735
Ho -3.339 -4.892 2.512
O -3.726 -4.023 4.578
```

VASP energy ... -8.0869 eV per atom
Space group ... No. 20